Record 1
A plane-wave DFT calculation with PBE was carried out for crystalline Ac2PdBr at its relaxed geometry.

a = 3.7552 Å, b = 3.7552 Å, c = 8.7098 Å
α = 90.00°, β = 90.00°, γ = 90.00°
Last column: nearest neighbours and their distance in Å.
Space group P4/mmm (No. 123)
Unique sites:
Ac 0.0000 0.0000 0.2146 [2 per cell]  4 Pd 3.25
Pd 0.5000 0.5000 0.0000 [1 per cell]  8 Ac 3.25
Br 0.5000 0.5000 0.5000 [1 per cell]  8 Ac 3.64, 4 Br 3.76

Computed properties:
Crystal system   tetragonal
E above lowest polymorph   0.195 eV/atom
Size of the total moment   0.00 μB per formula unit
Energy   -4.66 eV per atom
Uncorrected formation energy   -0.89 eV per atom

***

Record 2
A plane-wave DFT calculation with PBE was carried out for crystalline RuS at its relaxed geometry.

a = 7.1087 Å, b = 8.5339 Å, c = 11.0616 Å
α = 90.00°, β = 90.00°, γ = 90.00°
Last column: nearest neighbours and their distance in Å.
Space group Fddd (No. 70, origin choice 2)
Unique sites:
Ru 0.1250 0.1250 0.0007 [16 per cell]  4 S 2.28-2.29
S 0.1250 0.3402 0.1250 [16 per cell]  4 Ru 2.28-2.29

Computed properties:
Crystal system   orthorhombic
Size of the total moment   0.00 μB per formula unit
Energy   -6.90 eV per atom
Uncorrected formation energy   -0.20 eV per atom

***

Record 3
A plane-wave DFT calculation with PBE was carried out for crystalline CaNiSnRh at its relaxed geometry.

a = 6.5634 Å, b = 6.5634 Å, c = 6.5634 Å
α = 90.00°, β = 90.00°, γ = 90.00°
Last column: nearest neighbours and their distance in Å.
Space group F-43m (No. 216)
Unique sites:
Ca 0.0000 0.0000 0.0000 [4 per cell]  4 Rh 2.84, 4 Ni 2.84
Ni 0.2500 0.2500 0.2500 [4 per cell]  4 Ca 2.84, 4 Sn 2.84
Sn 0.0000 0.0000 0.5000 [4 per cell]  4 Ni 2.84, 4 Rh 2.84
Rh 0.2500 0.2500 0.7500 [4 per cell]  4 Sn 2.84, 4 Ca 2.84

Computed properties:
Crystal system   cubic
Size of the total moment   0.00 μB per formula unit
Energy   -5.13 eV per atom
Energy relative to the elements   -0.35 eV/atom